# 1
Np2AlSi4Ir3: optimized geometry, PBE.

- Density: 11.61 g/cm³
- DOS(E_F): 2.0191 states/eV per atom
- Energy relative to the elements, uncorrected: -0.619 eV per atom

POSCAR file:
```
Np2AlSi4Ir3
1.0
4.077 0.000 0.000
0.000 4.077 0.000
0.000 0.000 10.239
Np Al Si Ir
2 1 4 3
Direct
0.000 0.500 0.245
0.500 0.000 0.755
0.000 0.000 0.500
0.000 0.000 0.000
0.000 0.500 0.643
0.500 0.000 0.357
0.500 0.500 0.000
0.000 0.500 0.874
0.500 0.000 0.126
0.500 0.500 0.500
```

=====

# 2
Np2AlSi2Ir5: optimized geometry, PBE.

- Density: 15.22 g/cm³
- DOS(E_F): 2.4381 states/eV per atom
- Energy relative to the elements, uncorrected: -0.490 eV per atom

POSCAR file:
```
Np2AlSi2Ir5
1.0
9.614 0.000 0.000
0.000 9.614 0.000
0.000 0.000 3.585
Np Al Si Ir
4 2 4 10
Direct
0.177 0.323 0.000
0.323 0.823 0.000
0.677 0.177 0.000
0.823 0.677 0.000
0.000 0.000 0.000
0.500 0.500 0.000
0.124 0.624 0.000
0.376 0.124 0.000
0.624 0.876 0.000
0.876 0.376 0.000
0.000 0.500 0.500
0.066 0.792 0.500
0.208 0.066 0.500
0.292 0.566 0.500
0.434 0.292 0.500
0.500 0.000 0.500
0.566 0.708 0.500
0.708 0.434 0.500
0.792 0.934 0.500
0.934 0.208 0.500
```

=====

# 3
AlIrO2: optimized geometry, PBE.

- Density: 10.27 g/cm³
- DOS(E_F): 0.6700 states/eV per atom
- Energy relative to the elements, uncorrected: -1.856 eV per atom

POSCAR file:
```
AlIrO2
1.0
1.388 0.801 6.091
-1.388 0.801 6.091
0.000 -1.602 6.091
Al Ir O
1 1 2
Direct
0.000 0.000 0.000
0.500 0.500 0.500
0.387 0.387 0.387
0.613 0.613 0.613
```

=====

# 4
AlIrO3: optimized geometry, PBE.

- Density: 9.28 g/cm³
- DOS(E_F): 0.7370 states/eV per atom
- Energy relative to the elements, uncorrected: -0.771 eV per atom

POSCAR file:
```
AlIrO3
1.0
3.630 0.000 0.000
0.000 3.630 0.000
0.000 0.000 3.630
Al Ir O
1 1 3
Direct
0.000 0.000 0.000
0.500 0.500 0.500
0.000 0.000 0.500
0.000 0.500 0.000
0.500 0.000 0.000
```

=====

# 5
AlIr3O: optimized geometry, PBE.

- Density: 14.55 g/cm³
- DOS(E_F): 1.5569 states/eV per atom
- Energy relative to the elements, uncorrected: 0.545 eV per atom

POSCAR file:
```
AlIr3O
1.0
4.135 0.000 0.000
0.000 4.135 0.000
0.000 0.000 4.135
Al Ir O
1 3 1
Direct
0.000 0.000 0.000
0.000 0.500 0.500
0.500 0.000 0.500
0.500 0.500 0.000
0.500 0.500 0.500
```

=====

# 6
AlIrO2: optimized geometry, PBE.

- Density: 8.38 g/cm³
- DOS(E_F): 0.0000 states/eV per atom
- Energy relative to the elements, uncorrected: -0.707 eV per atom

POSCAR file:
```
AlIrO2
1.0
1.582 0.913 5.745
-1.582 0.913 5.745
0.000 -1.827 5.745
Al Ir O
1 1 2
Direct
0.000 0.000 0.000
0.500 0.500 0.500
0.110 0.110 0.110
0.890 0.890 0.890
```

=====

Question: Among the records above, which one has the highest DOS(E_F)?
Answer: Np2AlSi2Ir5

=====

Please write out number 1 again, unchanged.
Np2AlSi4Ir3: optimized geometry, PBE.

- Density: 11.61 g/cm³
- DOS(E_F): 2.0191 states/eV per atom
- Energy relative to the elements, uncorrected: -0.619 eV per atom

POSCAR file:
```
Np2AlSi4Ir3
1.0
4.077 0.000 0.000
0.000 4.077 0.000
0.000 0.000 10.239
Np Al Si Ir
2 1 4 3
Direct
0.000 0.500 0.245
0.500 0.000 0.755
0.000 0.000 0.500
0.000 0.000 0.000
0.000 0.500 0.643
0.500 0.000 0.357
0.500 0.500 0.000
0.000 0.500 0.874
0.500 0.000 0.126
0.500 0.500 0.500
```

=====

Question: Which formula does entry 6 have?
Answer: AlIrO2

=====

Copy entry 6 word for word.
AlIrO2: optimized geometry, PBE.

- Density: 8.38 g/cm³
- DOS(E_F): 0.0000 states/eV per atom
- Energy relative to the elements, uncorrected: -0.707 eV per atom

POSCAR file:
```
AlIrO2
1.0
1.582 0.913 5.745
-1.582 0.913 5.745
0.000 -1.827 5.745
Al Ir O
1 1 2
Direct
0.000 0.000 0.000
0.500 0.500 0.500
0.110 0.110 0.110
0.890 0.890 0.890
```